# 1
# AcCdGaHg, relaxed, DFT PBE-GGA
# size of the total moment = 0.000 μB/f.u.
# energy of formation from the pure elements = -362 meV per atom
# crystal system = cubic
# uncorrected energy = -39.20 eV/cell
data_AcCdGaHg
_chemical_formula_sum 'Ac4 Cd4 Ga4 Hg4'
_symmetry_space_group_name_H-M 'P 1'
_symmetry_Int_Tables_number 1
_symmetry_space_group_name_Hall 'P 1'
_cell_length_a 7.5199
_cell_length_b 7.5199
_cell_length_c 7.5199
_cell_angle_alpha 90.00
_cell_angle_beta 90.00
_cell_angle_gamma 90.00
loop_
_atom_site_label
_atom_site_fract_x
_atom_site_fract_y
_atom_site_fract_z
Ac1 0.0000 0.0000 0.0000
Ac2 0.0000 0.5000 0.5000
Ac3 0.5000 0.0000 0.5000
Ac4 0.5000 0.5000 0.0000
Cd1 0.0000 0.0000 0.5000
Cd2 0.0000 0.5000 0.0000
Cd3 0.5000 0.0000 0.0000
Cd4 0.5000 0.5000 0.5000
Ga1 0.2500 0.2500 0.7500
Ga2 0.2500 0.7500 0.2500
Ga3 0.7500 0.2500 0.2500
Ga4 0.7500 0.7500 0.7500
Hg1 0.2500 0.2500 0.2500
Hg2 0.2500 0.7500 0.7500
Hg3 0.7500 0.2500 0.7500
Hg4 0.7500 0.7500 0.2500

***

# 2
# Ac2CdGa3Hg4, relaxed, DFT PBE-GGA
# size of the total moment = 0.000 μB/f.u.
# energy of formation from the pure elements = -373 meV per atom
# crystal system = tetragonal
# uncorrected energy = -23.15 eV/cell
data_Ac2CdGa3Hg4
_chemical_formula_sum 'Ac2 Cd1 Ga3 Hg4'
_symmetry_space_group_name_H-M 'P 1'
_symmetry_Int_Tables_number 1
_symmetry_space_group_name_Hall 'P 1'
_cell_length_a 4.7015
_cell_length_b 4.7015
_cell_length_c 11.4167
_cell_angle_alpha 90.00
_cell_angle_beta 90.00
_cell_angle_gamma 90.00
loop_
_atom_site_label
_atom_site_fract_x
_atom_site_fract_y
_atom_site_fract_z
Ac1 0.0000 0.5000 0.2406
Ac2 0.5000 0.0000 0.7594
Cd1 0.0000 0.0000 0.5000
Ga1 0.0000 0.5000 0.8693
Ga2 0.5000 0.0000 0.1307
Ga3 0.5000 0.5000 0.5000
Hg1 0.0000 0.0000 0.0000
Hg2 0.0000 0.5000 0.6398
Hg3 0.5000 0.0000 0.3602
Hg4 0.5000 0.5000 0.0000

***

# 3
# Ac2CdIn3Ga4, relaxed, DFT PBE-GGA
# size of the total moment = 0.000 μB/f.u.
# energy of formation from the pure elements = -356 meV per atom
# crystal system = tetragonal
# uncorrected energy = -33.01 eV/cell
data_Ac2CdIn3Ga4
_chemical_formula_sum 'Ac2 Cd1 In3 Ga4'
_symmetry_space_group_name_H-M 'P 1'
_symmetry_Int_Tables_number 1
_symmetry_space_group_name_Hall 'P 1'
_cell_length_a 4.7667
_cell_length_b 4.7667
_cell_length_c 11.1566
_cell_angle_alpha 90.00
_cell_angle_beta 90.00
_cell_angle_gamma 90.00
loop_
_atom_site_label
_atom_site_fract_x
_atom_site_fract_y
_atom_site_fract_z
Ac1 0.0000 0.5000 0.2457
Ac2 0.5000 0.0000 0.7543
Cd1 0.0000 0.0000 0.5000
In1 0.0000 0.5000 0.8725
In2 0.5000 0.0000 0.1275
In3 0.5000 0.5000 0.5000
Ga1 0.0000 0.0000 0.0000
Ga2 0.0000 0.5000 0.6335
Ga3 0.5000 0.0000 0.3665
Ga4 0.5000 0.5000 0.0000

***

# 4
# Ac2Cd4In3Ga, relaxed, DFT PBE-GGA
# size of the total moment = 0.000 μB/f.u.
# energy of formation from the pure elements = -328 meV per atom
# crystal system = tetragonal
# uncorrected energy = -26.40 eV/cell
data_Ac2Cd4In3Ga
_chemical_formula_sum 'Ac2 Cd4 In3 Ga1'
_symmetry_space_group_name_H-M 'P 1'
_symmetry_Int_Tables_number 1
_symmetry_space_group_name_Hall 'P 1'
_cell_length_a 4.7770
_cell_length_b 4.7770
_cell_length_c 11.8912
_cell_angle_alpha 90.00
_cell_angle_beta 90.00
_cell_angle_gamma 90.00
loop_
_atom_site_label
_atom_site_fract_x
_atom_site_fract_y
_atom_site_fract_z
Ac1 0.0000 0.5000 0.2426
Ac2 0.5000 0.0000 0.7574
Cd1 0.0000 0.0000 0.5000
Cd2 0.0000 0.5000 0.8711
Cd3 0.5000 0.0000 0.1289
Cd4 0.5000 0.5000 0.5000
In1 0.0000 0.0000 0.0000
In2 0.0000 0.5000 0.6395
In3 0.5000 0.0000 0.3605
Ga1 0.5000 0.5000 0.0000

***

# 5
# Ac2Cd4InGa3, relaxed, DFT PBE-GGA
# size of the total moment = 0.000 μB/f.u.
# energy of formation from the pure elements = -370 meV per atom
# crystal system = tetragonal
# uncorrected energy = -27.39 eV/cell
data_Ac2Cd4InGa3
_chemical_formula_sum 'Ac2 Cd4 In1 Ga3'
_symmetry_space_group_name_H-M 'P 1'
_symmetry_Int_Tables_number 1
_symmetry_space_group_name_Hall 'P 1'
_cell_length_a 4.6515
_cell_length_b 4.6515
_cell_length_c 11.6501
_cell_angle_alpha 90.00
_cell_angle_beta 90.00
_cell_angle_gamma 90.00
loop_
_atom_site_label
_atom_site_fract_x
_atom_site_fract_y
_atom_site_fract_z
Ac1 0.0000 0.5000 0.2432
Ac2 0.5000 0.0000 0.7568
Cd1 0.0000 0.0000 0.0000
Cd2 0.0000 0.5000 0.6413
Cd3 0.5000 0.0000 0.3587
Cd4 0.5000 0.5000 0.0000
In1 0.0000 0.0000 0.5000
Ga1 0.0000 0.5000 0.8667
Ga2 0.5000 0.0000 0.1333
Ga3 0.5000 0.5000 0.5000

***

# 6
# AcCdInGa, relaxed, DFT PBE-GGA
# size of the total moment = 0.000 μB/f.u.
# energy of formation from the pure elements = -263 meV per atom
# crystal system = cubic
# uncorrected energy = -47.36 eV/cell
data_AcCdInGa
_chemical_formula_sum 'Ac4 Cd4 In4 Ga4'
_symmetry_space_group_name_H-M 'P 1'
_symmetry_Int_Tables_number 1
_symmetry_space_group_name_Hall 'P 1'
_cell_length_a 7.5822
_cell_length_b 7.5822
_cell_length_c 7.5822
_cell_angle_alpha 90.00
_cell_angle_beta 90.00
_cell_angle_gamma 90.00
loop_
_atom_site_label
_atom_site_fract_x
_atom_site_fract_y
_atom_site_fract_z
Ac1 0.0000 0.0000 0.0000
Ac2 0.0000 0.5000 0.5000
Ac3 0.5000 0.0000 0.5000
Ac4 0.5000 0.5000 0.0000
Cd1 0.2500 0.2500 0.7500
Cd2 0.2500 0.7500 0.2500
Cd3 0.7500 0.2500 0.2500
Cd4 0.7500 0.7500 0.7500
In1 0.0000 0.0000 0.5000
In2 0.0000 0.5000 0.0000
In3 0.5000 0.0000 0.0000
In4 0.5000 0.5000 0.5000
Ga1 0.2500 0.2500 0.2500
Ga2 0.2500 0.7500 0.7500
Ga3 0.7500 0.2500 0.7500
Ga4 0.7500 0.7500 0.2500

***

# 7
# Ac2Cd6InGa, relaxed, DFT PBE-GGA
# size of the total moment = 0.000 μB/f.u.
# energy of formation from the pure elements = -172 meV per atom
# crystal system = orthorhombic
# uncorrected energy = -42.38 eV/cell
data_Ac2Cd6InGa
_chemical_formula_sum 'Ac4 Cd12 In2 Ga2'
_symmetry_space_group_name_H-M 'P 1'
_symmetry_Int_Tables_number 1
_symmetry_space_group_name_Hall 'P 1'
_cell_length_a 7.8501
_cell_length_b 9.5840
_cell_length_c 7.4799
_cell_angle_alpha 90.00
_cell_angle_beta 90.00
_cell_angle_gamma 90.00
loop_
_atom_site_label
_atom_site_fract_x
_atom_site_fract_y
_atom_site_fract_z
Ac1 0.2500 0.0187 0.2172
Ac2 0.2500 0.4813 0.2172
Ac3 0.7500 0.5187 0.7828
Ac4 0.7500 0.9813 0.7828
Cd1 0.0615 0.2500 0.8791
Cd2 0.0748 0.7500 0.5244
Cd3 0.2500 0.0063 0.7137
Cd4 0.2500 0.4937 0.7137
Cd5 0.4252 0.7500 0.5244
Cd6 0.4385 0.2500 0.8791
Cd7 0.5615 0.7500 0.1209
Cd8 0.5748 0.2500 0.4756
Cd9 0.7500 0.5063 0.2863
Cd10 0.7500 0.9937 0.2863
Cd11 0.9252 0.2500 0.4756
Cd12 0.9385 0.7500 0.1209
In1 0.2500 0.7500 0.9088
In2 0.7500 0.2500 0.0912
Ga1 0.2500 0.2500 0.5220
Ga2 0.7500 0.7500 0.4780

***

# 8
# Ac4Cd2InGa, relaxed, DFT PBE-GGA
# size of the total moment = 0.002 μB/f.u.
# energy of formation from the pure elements = -362 meV per atom
# crystal system = trigonal
# uncorrected energy = -26.92 eV/cell
data_Ac4Cd2InGa
_chemical_formula_sum 'Ac4 Cd2 In1 Ga1'
_symmetry_space_group_name_H-M 'P 1'
_symmetry_Int_Tables_number 1
_symmetry_space_group_name_Hall 'P 1'
_cell_length_a 9.9107
_cell_length_b 9.9107
_cell_length_c 9.9107
_cell_angle_alpha 33.57
_cell_angle_beta 33.57
_cell_angle_gamma 33.57
loop_
_atom_site_label
_atom_site_fract_x
_atom_site_fract_y
_atom_site_fract_z
Ac1 0.1215 0.1215 0.1215
Ac2 0.3716 0.3716 0.3716
Ac3 0.6284 0.6284 0.6284
Ac4 0.8785 0.8785 0.8785
Cd1 0.2473 0.2473 0.2473
Cd2 0.7527 0.7527 0.7527
In1 0.5000 0.5000 0.5000
Ga1 0.0000 0.0000 0.0000

***

# 9
# Ac2Cd3In4Ga, relaxed, DFT PBE-GGA
# size of the total moment = 0.000 μB/f.u.
# energy of formation from the pure elements = -327 meV per atom
# crystal system = tetragonal
# uncorrected energy = -28.22 eV/cell
data_Ac2Cd3In4Ga
_chemical_formula_sum 'Ac2 Cd3 In4 Ga1'
_symmetry_space_group_name_H-M 'P 1'
_symmetry_Int_Tables_number 1
_symmetry_space_group_name_Hall 'P 1'
_cell_length_a 4.8325
_cell_length_b 4.8325
_cell_length_c 11.7545
_cell_angle_alpha 90.00
_cell_angle_beta 90.00
_cell_angle_gamma 90.00
loop_
_atom_site_label
_atom_site_fract_x
_atom_site_fract_y
_atom_site_fract_z
Ac1 0.0000 0.5000 0.2419
Ac2 0.5000 0.0000 0.7581
Cd1 0.0000 0.0000 0.0000
Cd2 0.0000 0.5000 0.6381
Cd3 0.5000 0.0000 0.3619
In1 0.0000 0.0000 0.5000
In2 0.0000 0.5000 0.8719
In3 0.5000 0.0000 0.1281
In4 0.5000 0.5000 0.5000
Ga1 0.5000 0.5000 0.0000

***

# 10
# Ac2CdGa3Ir4, relaxed, DFT PBE-GGA
# size of the total moment = 0.000 μB/f.u.
# energy of formation from the pure elements = -587 meV per atom
# crystal system = tetragonal
# uncorrected energy = -59.53 eV/cell
data_Ac2CdGa3Ir4
_chemical_formula_sum 'Ac2 Cd1 Ga3 Ir4'
_symmetry_space_group_name_H-M 'P 1'
_symmetry_Int_Tables_number 1
_symmetry_space_group_name_Hall 'P 1'
_cell_length_a 4.3690
_cell_length_b 4.3690
_cell_length_c 10.8205
_cell_angle_alpha 90.00
_cell_angle_beta 90.00
_cell_angle_gamma 90.00
loop_
_atom_site_label
_atom_site_fract_x
_atom_site_fract_y
_atom_site_fract_z
Ac1 0.0000 0.5000 0.2384
Ac2 0.5000 0.0000 0.7616
Cd1 0.0000 0.0000 0.5000
Ga1 0.0000 0.5000 0.8829
Ga2 0.5000 0.0000 0.1171
Ga3 0.5000 0.5000 0.5000
Ir1 0.0000 0.0000 0.0000
Ir2 0.0000 0.5000 0.6487
Ir3 0.5000 0.0000 0.3513
Ir4 0.5000 0.5000 0.0000

***

# 11
# Ac2CdGa4Ir3, relaxed, DFT PBE-GGA
# size of the total moment = 0.000 μB/f.u.
# energy of formation from the pure elements = -566 meV per atom
# crystal system = tetragonal
# uncorrected energy = -53.48 eV/cell
data_Ac2CdGa4Ir3
_chemical_formula_sum 'Ac2 Cd1 Ga4 Ir3'
_symmetry_space_group_name_H-M 'P 1'
_symmetry_Int_Tables_number 1
_symmetry_space_group_name_Hall 'P 1'
_cell_length_a 4.3818
_cell_length_b 4.3818
_cell_length_c 10.9112
_cell_angle_alpha 90.00
_cell_angle_beta 90.00
_cell_angle_gamma 90.00
loop_
_atom_site_label
_atom_site_fract_x
_atom_site_fract_y
_atom_site_fract_z
Ac1 0.0000 0.5000 0.2391
Ac2 0.5000 0.0000 0.7609
Cd1 0.0000 0.0000 0.5000
Ga1 0.0000 0.0000 0.0000
Ga2 0.0000 0.5000 0.6384
Ga3 0.5000 0.0000 0.3616
Ga4 0.5000 0.5000 0.0000
Ir1 0.0000 0.5000 0.8742
Ir2 0.5000 0.0000 0.1258
Ir3 0.5000 0.5000 0.5000

***

# 12
# Ac3La3Cd2Ga, relaxed, DFT PBE-GGA
# size of the total moment = 0.000 μB/f.u.
# energy of formation from the pure elements = -233 meV per atom
# crystal system = hexagonal
# uncorrected energy = -34.06 eV/cell
data_Ac3La3Cd2Ga
_chemical_formula_sum 'Ac3 La3 Cd2 Ga1'
_symmetry_space_group_name_H-M 'P 1'
_symmetry_Int_Tables_number 1
_symmetry_space_group_name_Hall 'P 1'
_cell_length_a 9.3936
_cell_length_b 9.3936
_cell_length_c 4.0393
_cell_angle_alpha 90.00
_cell_angle_beta 90.00
_cell_angle_gamma 120.00
loop_
_atom_site_label
_atom_site_fract_x
_atom_site_fract_y
_atom_site_fract_z
Ac1 0.0000 0.3942 0.0000
Ac2 0.3942 0.0000 0.0000
Ac3 0.6058 0.6058 0.0000
La1 0.0000 0.7438 0.5000
La2 0.2562 0.2562 0.5000
La3 0.7438 0.0000 0.5000
Cd1 0.3333 0.6667 0.5000
Cd2 0.6667 0.3333 0.5000
Ga1 0.0000 0.0000 0.0000